The following is a PBE calculation of crystalline SmInB4 at its relaxed geometry, from OQMD.

Structure (POSCAR):
```
SmInB4
1.0
3.234 0.000 0.000
-1.617 2.801 0.000
0.000 0.000 7.901
B In Sm
4 1 1
Direct
0.333 0.667 0.241
0.667 0.333 0.241
0.333 0.667 0.759
0.667 0.333 0.759
0.000 0.000 0.000
0.000 0.000 0.500
```

relative energy among the computed polymorphs = 0.94 eV per formula unit
crystal system = hexagonal